The following is a DFT calculation (PBE+U) of an optimized crystal structure of AcSi2WO8.

Summary:
- E_tot (eV per atom) = -7.76
- total magnetic moment (Bohr magnetons per cell) = 3.0

Cell and atoms, written as CIF:
```
data_AcSi2WO8
_symmetry_space_group_name_H-M 'R -3'
_symmetry_Int_Tables_number 148
_symmetry_space_group_name_Hall '-R 3'
_cell_length_a 4.8862
_cell_length_b 4.8862
_cell_length_c 21.9591
_cell_angle_alpha 90.00
_cell_angle_beta 90.00
_cell_angle_gamma 120.00
loop_
_atom_site_label
_atom_site_type_symbol
_atom_site_fract_x
_atom_site_fract_y
_atom_site_fract_z
Ac1 Ac 0.0000 0.0000 0.0000
Si1 Si 0.0000 0.0000 0.2443
W1 W 0.0000 0.0000 0.5000
O1 O 0.0000 0.0000 0.3180
O2 O 0.0044 0.3545 0.8882
```